# 1
ZnPRu2 after structural relaxation. Source: Alexandria, functional GGA-PBE.

Cell: 2.903 4.726 8.145 Å, 90.00 90.00 90.00°
Positions (direct):
Zn1 0.000 0.000 0.000
Zn2 0.500 0.500 0.500
P1 0.000 0.000 0.500
P2 0.500 0.500 0.000
Ru1 0.000 0.500 0.217
Ru2 0.000 0.500 0.783
Ru3 0.500 0.000 0.283
Ru4 0.500 0.000 0.717

Properties
Offset from the most stable computed form   0.75 eV/f.u.
ΔE_f   -7 kJ/mol of atoms
N(E_F)   2.352 states/eV/f.u.
Calculated volume   111.7 Å³ per cell

# 2
GaB2Cl8 after structural relaxation. Source: Alexandria, functional GGA-PBE.

Cell: 7.526 7.526 5.745 Å, 95.30 95.30 81.72°
Positions (direct):
Ga1 0.000 0.000 0.000
B1 0.203 0.203 0.656
B2 0.797 0.797 0.344
Cl1 0.033 0.722 0.249
Cl2 0.196 0.196 0.327
Cl3 0.278 0.967 0.751
Cl4 0.356 0.356 0.779
Cl5 0.644 0.644 0.221
Cl6 0.722 0.033 0.249
Cl7 0.804 0.804 0.673
Cl8 0.967 0.278 0.751

Properties
N(E_F)   2.966 states/eV/f.u.
Calculated volume   319.6 Å³ per cell
Raw formation energy   -80.3 kJ/mol of atoms